# 1
ZrI2Cl after structural relaxation. Source: the Alexandria database, functional PBE.

Computed properties:
Space-group type: No. 8
Final energy, eV per cell: -17.8
Polymorph energy (0 for the lowest one), meV per atom: 0
Uncorrected formation energy, eV/atom: -1.08

Cell lengths 7.930, 7.930, 6.712 Å; angles 114.96, 114.96, 27.55 degrees
Element x y z (fractional)
Zr  0.000  0.000  0.000
I  0.354  0.354  0.728
I  0.646  0.646  0.018
Cl  0.000  0.000  0.350

=====

# 2
MnFe4Tc2 after structural relaxation. Source: the Alexandria database, functional PBE.

Computed properties:
Space-group type: No. 65
ΔE_f, eV per atom: 0.158
Final energy, eV per cell: -62.6

Cell lengths 4.642, 4.642, 4.773 Å; angles 90.00, 90.00, 120.21 degrees
Element x y z (fractional)
Mn  0.000  0.000  0.000
Fe  0.000  0.500  0.000
Fe  0.166  0.834  0.500
Fe  0.500  0.000  0.000
Fe  0.834  0.166  0.500
Tc  0.500  0.500  0.260
Tc  0.500  0.500  0.740

=====

# 3
Ac3SbF after structural relaxation. Source: the Alexandria database, functional PBE.

Computed properties:
Space-group type: No. 221
Final energy, eV per cell: -24.0
Uncorrected formation energy, eV/atom: -1.14

Cell lengths 5.367, 5.367, 5.367 Å; angles 90.00, 90.00, 90.00 degrees
Element x y z (fractional)
Ac  0.000  0.000  0.500
Ac  0.000  0.500  0.000
Ac  0.500  0.000  0.000
Sb  0.500  0.500  0.500
F  0.000  0.000  0.000